Below is KAg after structural relaxation, with properties calculated at the PBE level.

The space group is P2_1/m (No. 11) and the conventional cell measures 4.8296, 4.8968 and 6.6180 Å, with angles of 90.00, 111.32 and 90.00 degrees. The asymmetric unit holds K at (0.1449, 0.2500, 0.2899) and Ag at (0.4421, 0.2500, 0.8827).

The total magnetization is 0.0 Bohr magnetons per cell. For the excess energy over the best structure of this formula in the dataset, the calculation gives 17 meV/atom. The calculation puts the energy relative to the elements at 0.03 eV per atom. The calculation puts the total energy at -7.8 eV per cell.